# SiSeBr, relaxed, DFT GGA-PBE
# Formation energy without anion corrections: -316 meV/atom
# M_tot: 0.0 μB per formula unit
# ΔE to the lowest computed polymorph: 216.6 meV per atom
# Calculated density: 3.34 g/cm3
# DOS(E_F): 0.70 states/eV/f.u.
data_SiSeBr
_symmetry_space_group_name_H-M 'C 1 m 1'
_symmetry_Int_Tables_number 8
_cell_length_a 5.819
_cell_length_b 4.644
_cell_length_c 6.886
_cell_angle_alpha 90.00
_cell_angle_beta 94.15
_cell_angle_gamma 90.00
loop_
_symmetry_equiv_pos_as_xyz
'x,y,z'
'x,-y,z'
'x+1/2,y+1/2,z'
'x+1/2,-y+1/2,z'
loop_
_atom_site_label
_atom_site_fract_x
_atom_site_fract_y
_atom_site_fract_z
_atom_site_occupancy
Si1 0.000 0.000 0.000 1
Se1 0.094 0.500 0.891 1
Br1 0.027 0.000 0.326 1